Here is a relaxed structure of LaPaPt3 from the Alexandria database. Energies are from GGA-PBE.

Lattice parameters (Å, degrees): 14.0669 14.0669 4.2630 90.00 90.00 164.20
Sites, in units of the cell vectors:
La  0.0711  0.9289  0.7500
La  0.9289  0.0711  0.2500
Pa  0.2011  0.7989  0.2500
Pa  0.7989  0.2011  0.7500
Pt  0.3052  0.6948  0.2500
Pt  0.3740  0.6260  0.7500
Pt  0.4700  0.5300  0.7500
Pt  0.5300  0.4700  0.2500
Pt  0.6260  0.3740  0.2500
Pt  0.6948  0.3052  0.7500

Values from the calculation:
- space-group type = Cmcm (63)
- energy relative to the elements (eV/atom) = -1.096
- E_tot (eV per atom) = -7.605
- M_tot (μB per formula unit) = 0.0

Here is a relaxed structure of LiTlIr4 from the Alexandria database. Energies are from GGA-PBE.

Lattice parameters (Å, degrees): 5.2533 5.2533 5.2533 60.00 60.00 60.00
Sites, in units of the cell vectors:
Li  0.0000  0.0000  0.0000
Tl  0.7500  0.7500  0.7500
Ir  0.3746  0.3746  0.3746
Ir  0.3746  0.3746  0.8761
Ir  0.3746  0.8761  0.3746
Ir  0.8761  0.3746  0.3746

Values from the calculation:
- space-group type = F-43m (216)
- energy relative to the elements (eV/atom) = 0.283
- E_tot (eV per atom) = -6.337
- M_tot (μB per formula unit) = 0.0

Here is a relaxed structure of BeHgW2 from the Alexandria database. Energies are from GGA-PBE.

Lattice parameters (Å, degrees): 3.2125 3.2125 6.2712 90.00 90.00 90.00
Sites, in units of the cell vectors:
Be  0.0000  0.0000  0.0000
Hg  0.5000  0.5000  0.2601
W  0.0000  0.0000  0.5926
W  0.5000  0.5000  0.8030

Values from the calculation:
- space-group type = P4mm (99)
- energy relative to the elements (eV/atom) = 0.472
- E_tot (eV per atom) = -7.012
- M_tot (μB per formula unit) = 0.0

Here is a relaxed structure of WAuCl2 from the Alexandria database. Energies are from GGA-PBE.

Lattice parameters (Å, degrees): 4.2007 4.2007 7.9664 90.00 90.00 90.00
Sites, in units of the cell vectors:
W  0.0000  0.0000  0.0000
W  0.5000  0.5000  0.5000
Au  0.0000  0.0000  0.5000
Au  0.5000  0.5000  0.0000
Cl  0.0000  0.5000  0.2500
Cl  0.0000  0.5000  0.7500
Cl  0.5000  0.0000  0.2500
Cl  0.5000  0.0000  0.7500

Values from the calculation:
- space-group type = I4/mmm (139)
- E_tot (eV per atom) = -3.980
- formation energy from raw total energies (eV/atom) = 1.00
- M_tot (μB per formula unit) = 1.3

Here is a relaxed structure of Li4Er3PaS8 from the Alexandria database. Energies are from GGA-PBE.

Lattice parameters (Å, degrees): 7.6346 7.6346 7.6346 61.01 61.01 61.01
Sites, in units of the cell vectors:
Li  0.0000  0.0000  0.0000
Li  0.0000  0.5000  0.5000
Li  0.5000  0.0000  0.5000
Li  0.5000  0.5000  0.0000
Er  0.0000  0.0000  0.5000
Er  0.0000  0.5000  0.0000
Er  0.5000  0.0000  0.0000
Pa  0.5000  0.5000  0.5000
S  0.2481  0.2481  0.7502
S  0.2481  0.7502  0.2481
S  0.2500  0.2500  0.2500
S  0.2498  0.7519  0.7519
S  0.7502  0.2481  0.2481
S  0.7500  0.7500  0.7500
S  0.7519  0.2498  0.7519
S  0.7519  0.7519  0.2498

Values from the calculation:
- space-group type = R-3m (166)
- E_tot (eV per atom) = -5.722
- formation energy from raw total energies (eV/atom) = -1.73
- M_tot (μB per formula unit) = 1.7

Here is a relaxed structure of YTiCu2 from the Alexandria database. Energies are from GGA-PBE.

Lattice parameters (Å, degrees): 3.2547 3.2547 6.6621 90.00 90.00 90.00
Sites, in units of the cell vectors:
Y  0.0000  0.0000  0.0000
Ti  0.0000  0.0000  0.5000
Cu  0.5000  0.5000  0.2991
Cu  0.5000  0.5000  0.7009

Values from the calculation:
- space-group type = P4/mmm (123)
- energy relative to the elements (eV/atom) = -0.093
- E_tot (eV per atom) = -5.731
- M_tot (μB per formula unit) = 0.9

Here is a relaxed structure of InSb2Te from the Alexandria database. Energies are from GGA-PBE.

Lattice parameters (Å, degrees): 14.4060 4.1371 4.3006 90.00 91.21 90.00
Sites, in units of the cell vectors:
In  0.0000  0.0000  0.0000
In  0.5000  0.5000  0.0000
Sb  0.0535  0.5000  0.5029
Sb  0.2178  0.0000  0.5168
Sb  0.5535  0.0000  0.5029
Sb  0.7178  0.5000  0.5168
Te  0.2926  0.5000  0.0086
Te  0.7926  0.0000  0.0086

Values from the calculation:
- space-group type = Cm (8)
- E_tot (eV per atom) = -3.491
- formation energy from raw total energies (eV/atom) = 0.04
- M_tot (μB per formula unit) = 0.0

Here is a relaxed structure of Rb2ThSnS5 from the Alexandria database. Energies are from GGA-PBE.

Lattice parameters (Å, degrees): 10.0773 10.0773 14.5863 90.00 90.00 156.11
Sites, in units of the cell vectors:
Rb  0.1112  0.8888  0.5000
Rb  0.1322  0.8678  0.1631
Rb  0.8678  0.1322  0.6631
Rb  0.8888  0.1112  0.0000
Th  0.2106  0.7894  0.8703
Th  0.7894  0.2106  0.3703
Sn  0.4384  0.5616  0.2534
Sn  0.5616  0.4384  0.7534
S  0.0506  0.9494  0.8549
S  0.3002  0.6998  0.4898
S  0.3154  0.6846  0.2320
S  0.3382  0.6618  0.8379
S  0.4987  0.5013  0.1177
S  0.5013  0.4987  0.6177
S  0.6618  0.3382  0.3379
S  0.6846  0.3154  0.7320
S  0.6998  0.3002  0.9898
S  0.9494  0.0506  0.3549

Values from the calculation:
- space-group type = Cmc2_1 (36)
- E_tot (eV per atom) = -4.979
- formation energy from raw total energies (eV/atom) = -1.20
- M_tot (μB per formula unit) = 0.0

Here is a relaxed structure of TlTePO from the Alexandria database. Energies are from GGA-PBE.

Lattice parameters (Å, degrees): 3.9222 4.2031 6.5724 78.19 72.82 89.98
Sites, in units of the cell vectors:
Tl  0.0000  0.0000  0.0000
Te  0.2692  0.3588  0.4581
P  0.7159  0.7322  0.5653
O  0.5903  0.6710  0.8192

Values from the calculation:
- space-group type = P1 (1)
- E_tot (eV per atom) = -4.616
- formation energy from raw total energies (eV/atom) = -0.65
- M_tot (μB per formula unit) = 0.0

Here is a relaxed structure of CoCuH3 from the Alexandria database. Energies are from GGA-PBE.

Lattice parameters (Å, degrees): 3.1842 3.1842 3.1842 90.00 90.00 90.00
Sites, in units of the cell vectors:
Co  0.0000  0.0000  0.0000
Cu  0.5000  0.5000  0.5000
H  0.0000  0.0000  0.5000
H  0.0000  0.5000  0.0000
H  0.5000  0.0000  0.0000

Values from the calculation:
- space-group type = Pm-3m (221)
- E_tot (eV per atom) = -4.073
- M_tot (μB per formula unit) = 0.0

Here is a relaxed structure of Ag2BiPd4 from the Alexandria database. Energies are from GGA-PBE.

Lattice parameters (Å, degrees): 6.7797 6.7797 5.7940 90.00 90.00 90.00
Sites, in units of the cell vectors:
Ag  0.0000  0.5000  0.0000
Ag  0.0000  0.5000  0.5000
Ag  0.5000  0.0000  0.0000
Ag  0.5000  0.0000  0.5000
Bi  0.0000  0.0000  0.0000
Bi  0.5000  0.5000  0.5000
Pd  0.2500  0.2500  0.2500
Pd  0.2500  0.2500  0.7500
Pd  0.2500  0.7500  0.2500
Pd  0.2500  0.7500  0.7500
Pd  0.7500  0.2500  0.2500
Pd  0.7500  0.2500  0.7500
Pd  0.7500  0.7500  0.2500
Pd  0.7500  0.7500  0.7500

Values from the calculation:
- space-group type = I4/mmm (139)
- energy relative to the elements (eV/atom) = -0.002
- E_tot (eV per atom) = -4.338
- M_tot (μB per formula unit) = 0.0

Here is a relaxed structure of TaP2Pt from the Alexandria database. Energies are from GGA-PBE.

Lattice parameters (Å, degrees): 3.2270 3.2306 6.2028 90.00 101.76 90.00
Sites, in units of the cell vectors:
Ta  0.0000  0.0000  0.0000
P  0.4346  0.5000  0.7806
P  0.5654  0.5000  0.2194
Pt  0.5000  0.0000  0.5000

Values from the calculation:
- space-group type = P2/m (10)
- energy relative to the elements (eV/atom) = -0.357
- E_tot (eV per atom) = -7.535
- M_tot (μB per formula unit) = 0.0